Compound: Li2YAg
Source: the Alexandria database
Functional: PBE
Structure: optimized geometry

Cell lengths 9.624, 9.624, 9.624 Å; angles 20.15, 20.15, 20.15 degrees
Fractional coordinates of all 4 atoms:
1 Li 0.000 0.000 0.000
2 Li 0.251 0.251 0.251
3 Y 0.487 0.487 0.487
4 Ag 0.735 0.735 0.735

Properties
The calculation puts the volume at 92.6 Å³ per cell. The density comes out at 3.8 g cm⁻³. The calculation puts the total magnetization at 0.0000 μB per atom. The formation energy is 0.04 eV/atom. Its density of states at the Fermi level is 2.2 states/eV/cell. The calculation puts the energy above the most stable polymorph in this dataset at 132.1 meV/atom.